Crystalline AlSiNi at its relaxed geometry, computed with PBE.

Structure (extended XYZ):
```
9
Lattice="-5.424 3.292 -1.274 0.218 -6.389 -1.005 -1.019 -0.510 3.021" Properties=species:S:1:pos:R:3 pbc="T T T"
Al -3.866 1.782 0.723
Al -0.374 -4.209 0.889
Al -2.494 -1.436 0.642
Si -1.467 0.891 -0.344
Si 0.059 -1.728 -0.272
Si -3.798 -2.259 -1.662
Ni -1.662 -3.162 -1.094
Ni -3.543 0.065 -1.184
Ni -0.509 -0.255 1.511
```

Values from the calculation:
Its calculated volume is 13.013 Å³/atom. Its density is 4.8 g cm⁻³. As for the symmetry: P-62m (189). The density of states at the Fermi level comes out at 0.3058 states/eV per atom. Its formation energy (no corrections) is -0.40 eV/atom.